No. 1
Computed, not measured: Zr3Fe after structural relaxation at the PBE level of DFT.

Size of the total moment in μB/cell: 0.69
Energy relative to the elements in meV/atom: 153

Lattice parameters (Å, degrees): 4.7659 4.7659 3.4500 90.00 90.00 90.00
Last column: nearest neighbours and their distance in Å.
Element x y z (fractional)
Zr 0.0000 0.0000 0.0000  8 Zr 2.94
Zr 0.0000 0.5000 0.5000  4 Zr 2.94, 4 Fe 2.94
Zr 0.5000 0.0000 0.5000  4 Zr 2.94, 4 Fe 2.94
Fe 0.5000 0.5000 0.0000  8 Zr 2.94

---

No. 2
Computed, not measured: ZrFe after structural relaxation at the PBE level of DFT.

Size of the total moment in μB/cell: 5.58
Energy relative to the elements in meV/atom: -1

Lattice parameters (Å, degrees): 3.3331 11.0811 5.5511 90.00 90.00 90.00
Last column: nearest neighbours and their distance in Å.
Element x y z (fractional)
Zr 0.0000 0.0000 0.0000  6 Fe 2.63-2.90
Zr 0.0000 0.2888 0.2433  3 Fe 2.56-2.76
Zr 0.0000 0.7112 0.2433  3 Fe 2.56-2.76
Zr 0.5000 0.2112 0.7433  3 Fe 2.56-2.76
Zr 0.5000 0.5000 0.5000  6 Fe 2.63-2.90
Zr 0.5000 0.7888 0.7433  3 Fe 2.56-2.76
Fe 0.0000 0.0000 0.5230  4 Fe 2.48, 1 Zr 2.65
Fe 0.0000 0.3854 0.7850  3 Fe 2.48-2.54, 5 Zr 2.56-2.76
Fe 0.0000 0.6146 0.7850  3 Fe 2.48-2.54, 5 Zr 2.56-2.76
Fe 0.5000 0.1146 0.2850  3 Fe 2.48-2.54, 5 Zr 2.56-2.76
Fe 0.5000 0.5000 0.0230  4 Fe 2.48, 1 Zr 2.65
Fe 0.5000 0.8854 0.2850  3 Fe 2.48-2.54, 5 Zr 2.56-2.76

---

No. 3
Computed, not measured: ZrFe3 after structural relaxation at the PBE level of DFT.

Size of the total moment in μB/cell: 11.65
Energy relative to the elements in meV/atom: 6

Lattice parameters (Å, degrees): 4.1705 5.2550 5.2322 90.00 90.00 90.00
Last column: nearest neighbours and their distance in Å.
Element x y z (fractional)
Zr 0.2500 0.2500 0.1073  12 Fe 2.75-3.07
Zr 0.7500 0.7500 0.8927  12 Fe 2.75-3.07
Fe 0.2500 0.0011 0.6372  7 Fe 2.36-2.64
Fe 0.2500 0.4989 0.6372  7 Fe 2.36-2.64
Fe 0.2500 0.7500 0.2625  6 Fe 2.36-2.52
Fe 0.7500 0.2500 0.7375  6 Fe 2.36-2.52
Fe 0.7500 0.5011 0.3628  7 Fe 2.36-2.64
Fe 0.7500 0.9989 0.3628  7 Fe 2.36-2.64

---

No. 4
Computed, not measured: Zr4Fe after structural relaxation at the PBE level of DFT.

E above lowest polymorph in meV/atom: 609
Size of the total moment in μB/cell: 0.00
Energy relative to the elements in meV/atom: 564

Lattice parameters (Å, degrees): 6.8709 6.8709 6.8709 60.00 60.00 60.00
Last column: nearest neighbours and their distance in Å.
Element x y z (fractional)
Zr 0.2083 0.7639 0.7639  1 Fe 2.34
Zr 0.2361 0.2361 0.2361  1 Fe 2.34
Zr 0.2361 0.2361 0.7917  1 Fe 2.34
Zr 0.2361 0.7917 0.2361  1 Fe 2.34
Zr 0.7639 0.2083 0.7639  1 Fe 2.34
Zr 0.7639 0.7639 0.2083  1 Fe 2.34
Zr 0.7639 0.7639 0.7639  1 Fe 2.34
Zr 0.7917 0.2361 0.2361  1 Fe 2.34
Fe 0.3750 0.3750 0.3750  4 Zr 2.34
Fe 0.6250 0.6250 0.6250  4 Zr 2.34

---

No. 5
Computed, not measured: ZrFe after structural relaxation at the PBE level of DFT.

Size of the total moment in μB/cell: 10.90
Energy relative to the elements in meV/atom: 140

Lattice parameters (Å, degrees): 9.4852 9.4852 3.0481 90.00 90.00 90.00
Last column: nearest neighbours and their distance in Å.
Element x y z (fractional)
Zr 0.1562 0.1562 0.0000  4 Fe 2.84, 6 Zr 2.94-3.05
Zr 0.1562 0.8438 0.0000  4 Fe 2.84, 6 Zr 2.94-3.05
Zr 0.3438 0.3438 0.5000  4 Fe 2.84, 6 Zr 2.94-3.05
Zr 0.3438 0.6562 0.5000  4 Fe 2.84, 6 Zr 2.94-3.05
Zr 0.6562 0.3438 0.5000  4 Fe 2.84, 6 Zr 2.94-3.05
Zr 0.6562 0.6562 0.5000  4 Fe 2.84, 6 Zr 2.94-3.05
Zr 0.8438 0.1562 0.0000  4 Fe 2.84, 6 Zr 2.94-3.05
Zr 0.8438 0.8438 0.0000  4 Fe 2.84, 6 Zr 2.94-3.05
Fe 0.0000 0.3551 0.5000  5 Fe 2.47-2.75
Fe 0.0000 0.6449 0.5000  5 Fe 2.47-2.75
Fe 0.1449 0.5000 0.0000  5 Fe 2.47-2.75
Fe 0.3551 0.0000 0.5000  5 Fe 2.47-2.75
Fe 0.5000 0.1449 0.0000  5 Fe 2.47-2.75
Fe 0.5000 0.8551 0.0000  5 Fe 2.47-2.75
Fe 0.6449 0.0000 0.5000  5 Fe 2.47-2.75
Fe 0.8551 0.5000 0.0000  5 Fe 2.47-2.75

---

No. 6
Computed, not measured: ZrFe4 after structural relaxation at the PBE level of DFT.

E above lowest polymorph in meV/atom: 27
Size of the total moment in μB/cell: 9.54
Energy relative to the elements in meV/atom: 40

Lattice parameters (Å, degrees): 3.8258 3.8258 9.3237 90.00 90.00 90.00
Last column: nearest neighbours and their distance in Å.
Element x y z (fractional)
Zr 0.0000 0.0000 0.0000  16 Fe 2.91-3.02
Zr 0.5000 0.5000 0.5000  16 Fe 2.91-3.02
Fe 0.0000 0.0000 0.3851  5 Fe 2.14-2.29
Fe 0.0000 0.0000 0.6149  5 Fe 2.14-2.29
Fe 0.0000 0.5000 0.2500  4 Fe 2.29
Fe 0.0000 0.5000 0.7500  4 Fe 2.29
Fe 0.5000 0.0000 0.2500  4 Fe 2.29
Fe 0.5000 0.0000 0.7500  4 Fe 2.29
Fe 0.5000 0.5000 0.1149  5 Fe 2.14-2.29
Fe 0.5000 0.5000 0.8851  5 Fe 2.14-2.29

---

No. 7
Computed, not measured: Zr2Fe after structural relaxation at the PBE level of DFT.

Size of the total moment in μB/cell: 0.50
Energy relative to the elements in meV/atom: 54

Lattice parameters (Å, degrees): 4.3899 4.3899 3.3418 90.00 90.00 120.00
Last column: nearest neighbours and their distance in Å.
Element x y z (fractional)
Zr 0.3333 0.6667 0.2822  3 Fe 2.70, 3 Zr 2.92
Zr 0.6667 0.3333 0.7178  3 Fe 2.70, 3 Zr 2.92
Fe 0.0000 0.0000 0.0000  6 Zr 2.70

---

No. 8
Computed, not measured: ZrFe after structural relaxation at the PBE level of DFT.

Size of the total moment in μB/cell: 0.00
Energy relative to the elements in meV/atom: 1008

Lattice parameters (Å, degrees): 7.2983 7.2983 7.2983 90.00 90.00 90.00
Last column: nearest neighbours and their distance in Å.
Element x y z (fractional)
Zr 0.2150 0.2150 0.7850  1 Fe 2.13
Zr 0.2150 0.7850 0.2150  1 Fe 2.13
Zr 0.2850 0.2850 0.2850  1 Fe 2.13
Zr 0.2850 0.7150 0.7150  1 Fe 2.13
Zr 0.7150 0.2850 0.7150  1 Fe 2.13
Zr 0.7150 0.7150 0.2850  1 Fe 2.13
Zr 0.7850 0.2150 0.2150  1 Fe 2.13
Zr 0.7850 0.7850 0.7850  1 Fe 2.13
Fe 0.1164 0.1164 0.1164  1 Zr 2.13
Fe 0.1164 0.8836 0.8836  1 Zr 2.13
Fe 0.3836 0.3836 0.6164  1 Zr 2.13
Fe 0.3836 0.6164 0.3836  1 Zr 2.13
Fe 0.6164 0.3836 0.3836  1 Zr 2.13
Fe 0.6164 0.6164 0.6164  1 Zr 2.13
Fe 0.8836 0.1164 0.8836  1 Zr 2.13
Fe 0.8836 0.8836 0.1164  1 Zr 2.13

---

No. 9
Computed, not measured: Zr2Fe after structural relaxation at the PBE level of DFT.

Size of the total moment in μB/cell: 0.00
Energy relative to the elements in meV/atom: -104

Lattice parameters (Å, degrees): 3.3739 6.1211 11.0727 90.00 90.00 90.00
Last column: nearest neighbours and their distance in Å.
Element x y z (fractional)
Zr 0.0000 0.0000 0.2143  2 Fe 2.49
Zr 0.0000 0.0000 0.7857  2 Fe 2.49
Zr 0.0000 0.2523 0.5000  4 Fe 2.65
Zr 0.0000 0.7477 0.5000  4 Fe 2.65
Zr 0.5000 0.2477 0.0000  4 Fe 2.65
Zr 0.5000 0.5000 0.2857  2 Fe 2.49
Zr 0.5000 0.5000 0.7143  2 Fe 2.49
Zr 0.5000 0.7523 0.0000  4 Fe 2.65
Fe 0.0000 0.5000 0.1202  6 Zr 2.49-2.65, 1 Fe 2.66
Fe 0.0000 0.5000 0.8798  6 Zr 2.49-2.65, 1 Fe 2.66
Fe 0.5000 0.0000 0.3798  6 Zr 2.49-2.65, 1 Fe 2.66
Fe 0.5000 0.0000 0.6202  6 Zr 2.49-2.65, 1 Fe 2.66

---

No. 10
Computed, not measured: ZrFe4 after structural relaxation at the PBE level of DFT.

E above lowest polymorph in meV/atom: 1330
Size of the total moment in μB/cell: 18.11
Energy relative to the elements in meV/atom: 1343

Lattice parameters (Å, degrees): 5.6482 5.6482 5.6482 90.00 90.00 90.00
Last column: nearest neighbours and their distance in Å.
Element x y z (fractional)
Zr 0.0000 0.0000 0.0000  8 Fe 2.45
Zr 0.5000 0.5000 0.5000  8 Fe 2.45
Fe 0.2500 0.2500 0.2500  2 Zr 2.45
Fe 0.2500 0.2500 0.7500  2 Zr 2.45
Fe 0.2500 0.7500 0.2500  2 Zr 2.45
Fe 0.2500 0.7500 0.7500  2 Zr 2.45
Fe 0.7500 0.2500 0.2500  2 Zr 2.45
Fe 0.7500 0.2500 0.7500  2 Zr 2.45
Fe 0.7500 0.7500 0.2500  2 Zr 2.45
Fe 0.7500 0.7500 0.7500  2 Zr 2.45

---

No. 11
Computed, not measured: Zr3Fe after structural relaxation at the PBE level of DFT.

Size of the total moment in μB/cell: 0.01
Energy relative to the elements in meV/atom: -20

Lattice parameters (Å, degrees): 7.9068 10.2089 3.9454 90.00 90.00 90.00
Last column: nearest neighbours and their distance in Å.
Element x y z (fractional)
Zr 0.0000 0.1114 0.2500  2 Fe 2.70, 2 Zr 3.01
Zr 0.0000 0.8886 0.7500  2 Fe 2.70, 2 Zr 3.01
Zr 0.1937 0.3788 0.2500  2 Fe 2.65
Zr 0.1937 0.6212 0.7500  2 Fe 2.65
Zr 0.3063 0.1212 0.7500  2 Fe 2.65
Zr 0.3063 0.8788 0.2500  2 Fe 2.65
Zr 0.5000 0.3886 0.7500  2 Fe 2.70, 2 Zr 3.01
Zr 0.5000 0.6114 0.2500  2 Fe 2.70, 2 Zr 3.01
Zr 0.6937 0.1212 0.7500  2 Fe 2.65
Zr 0.6937 0.8788 0.2500  2 Fe 2.65
Zr 0.8063 0.3788 0.2500  2 Fe 2.65
Zr 0.8063 0.6212 0.7500  2 Fe 2.65
Fe 0.0000 0.2919 0.7500  6 Zr 2.65-2.70
Fe 0.0000 0.7081 0.2500  6 Zr 2.65-2.70
Fe 0.5000 0.2081 0.2500  6 Zr 2.65-2.70
Fe 0.5000 0.7919 0.7500  6 Zr 2.65-2.70

---

No. 12
Computed, not measured: ZrFe after structural relaxation at the PBE level of DFT.

Size of the total moment in μB/cell: 1.15
Energy relative to the elements in meV/atom: 821

Lattice parameters (Å, degrees): 4.3107 4.3107 5.2503 90.00 90.00 120.00
Last column: nearest neighbours and their distance in Å.
Element x y z (fractional)
Zr 0.3333 0.6667 0.2500  5 Fe 2.49-2.63
Zr 0.6667 0.3333 0.7500  5 Fe 2.49-2.63
Fe 0.3333 0.6667 0.7500  5 Zr 2.49-2.63
Fe 0.6667 0.3333 0.2500  5 Zr 2.49-2.63